Below is AcTb6SmHo2 after structural relaxation, with properties calculated at the GGA-PBE level.

Cell lengths 9.5909, 8.9304, 8.9304 Å; angles 117.58, 92.75, 92.75 degrees
Sites, in units of the cell vectors:
Tb  0.5569  0.7500  0.1241
Tb  0.8829  0.2898  0.5108
Tb  0.3205  0.9832  0.4442
Tb  0.9431  0.8759  0.2500
Tb  0.3829  0.5108  0.2898
Tb  0.1795  0.5558  0.0168
Tb  0.6171  0.4892  0.7102
Tb  0.1171  0.7102  0.4892
Tb  0.6795  0.0168  0.5558
Tb  0.4431  0.2500  0.8759
Tb  0.0569  0.1241  0.7500
Tb  0.8205  0.4442  0.9832
Ho  0.4515  0.7998  0.6873
Ho  0.9515  0.6873  0.7998
Ho  0.0485  0.3127  0.2002
Ho  0.5485  0.2002  0.3127
Sm  0.2500  0.4108  0.5893
Sm  0.7500  0.5893  0.4108
Ac  0.7500  0.0309  0.9691
Ac  0.2500  0.9691  0.0309

## Properties
The space group is C2/c (15). Its formation energy is 129 meV/atom.